[1]
Computed, not measured: crystalline HoSiGe at its relaxed geometry at the GGA-PBE level of DFT.

CIF file:
```
data_HoSiGe
_cell_length_a 28.6799
_cell_length_b 3.1482
_cell_length_c 3.0686
_cell_angle_alpha 90.00
_cell_angle_beta 90.06
_cell_angle_gamma 90.00
_space_group_name_H-M_alt 'C 1 m 1'
_space_group_IT_number 8
loop_
_space_group_symop_operation_xyz
'x,y,z'
'x,-y,z'
'x+1/2,y+1/2,z'
'x+1/2,-y+1/2,z'
loop_
_atom_site_label
_atom_site_fract_x
_atom_site_fract_y
_atom_site_fract_z
Ho1 0.0000 0.0000 0.0000
Ho2 0.2447 0.5000 0.0005
Si1 0.1586 0.5000 0.4998
Si2 0.4155 0.5000 0.4987
Ge1 0.0892 0.0000 0.5009
Ge2 0.3323 0.5000 0.5020
```

Calculated values
raw formation energy	0.23	eV/atom
spin magnetization	0.0	μB per formula unit
excess energy over the best structure of this formula in the dataset	803.7	meV/atom


[2]
Computed, not measured: crystalline Zr5Al2Sb at its relaxed geometry at the GGA-PBE level of DFT.

CIF file:
```
data_Zr5Al2Sb
_cell_length_a 7.3572
_cell_length_b 7.3572
_cell_length_c 12.5727
_cell_angle_alpha 90.00
_cell_angle_beta 90.00
_cell_angle_gamma 90.00
_space_group_name_H-M_alt 'I 4/m c m'
_space_group_IT_number 140
_space_group_name_Hall '-I 4 2c'
loop_
_atom_site_label
_atom_site_fract_x
_atom_site_fract_y
_atom_site_fract_z
Zr1 0.0000 0.0000 0.0000
Zr2 0.1595 0.3405 0.1520
Al1 0.1327 0.3673 0.5000
Sb1 0.0000 0.0000 0.2500
```

Calculated values
raw formation energy	-0.50	eV/atom
spin magnetization	0.0	μB per formula unit


[3]
Computed, not measured: crystalline Pr2GdIn at its relaxed geometry at the GGA-PBE level of DFT.

CIF file:
```
data_Pr2GdIn
_cell_length_a 4.9890
_cell_length_b 4.9890
_cell_length_c 4.9740
_cell_angle_alpha 90.00
_cell_angle_beta 90.00
_cell_angle_gamma 90.00
_space_group_name_H-M_alt 'P 4/m m m'
_space_group_IT_number 123
_space_group_name_Hall '-P 4 2'
loop_
_atom_site_label
_atom_site_fract_x
_atom_site_fract_y
_atom_site_fract_z
Pr1 0.0000 0.5000 0.0000
Gd1 0.0000 0.0000 0.5000
In1 0.5000 0.5000 0.5000
```

Calculated values
calculated formation energy	-0.29	eV per atom
spin magnetization	7.9	μB per formula unit
excess energy over the best structure of this formula in the dataset	0.0	meV/atom


[4]
Computed, not measured: crystalline Mg2FeP at its relaxed geometry at the GGA-PBE level of DFT.

CIF file:
```
data_Mg2FeP
_cell_length_a 2.8644
_cell_length_b 2.8644
_cell_length_c 7.8392
_cell_angle_alpha 90.00
_cell_angle_beta 90.00
_cell_angle_gamma 90.00
_space_group_name_H-M_alt 'P 4/m m m'
_space_group_IT_number 123
_space_group_name_Hall '-P 4 2'
loop_
_atom_site_label
_atom_site_fract_x
_atom_site_fract_y
_atom_site_fract_z
Mg1 0.0000 0.0000 0.2450
Fe1 0.5000 0.5000 0.0000
P1 0.5000 0.5000 0.5000
```

Calculated values
calculated formation energy	0.10	eV per atom
spin magnetization	2.2	μB per formula unit


[5]
Computed, not measured: crystalline CeAgAu at its relaxed geometry at the GGA-PBE level of DFT.

CIF file:
```
data_CeAgAu
_cell_length_a 7.7985
_cell_length_b 7.7985
_cell_length_c 4.0003
_cell_angle_alpha 90.00
_cell_angle_beta 90.00
_cell_angle_gamma 120.00
_space_group_name_H-M_alt 'P -6 2 m'
_space_group_IT_number 189
_space_group_name_Hall 'P -6 -2'
loop_
_atom_site_label
_atom_site_fract_x
_atom_site_fract_y
_atom_site_fract_z
Ce1 0.0000 0.3989 0.0000
Ag1 0.0000 0.7386 0.5000
Au1 0.0000 0.0000 0.0000
Au2 0.3333 0.6667 0.5000
```

Calculated values
calculated formation energy	-0.45	eV per atom
spin magnetization	1.0	μB per formula unit
excess energy over the best structure of this formula in the dataset	0.0	meV/atom


[6]
Computed, not measured: crystalline YSc2SbO at its relaxed geometry at the GGA-PBE level of DFT.

CIF file:
```
data_YSc2SbO
_cell_length_a 5.6316
_cell_length_b 5.6316
_cell_length_c 4.1466
_cell_angle_alpha 90.00
_cell_angle_beta 90.00
_cell_angle_gamma 90.00
_space_group_name_H-M_alt 'P 4/m m m'
_space_group_IT_number 123
_space_group_name_Hall '-P 4 2'
loop_
_atom_site_label
_atom_site_fract_x
_atom_site_fract_y
_atom_site_fract_z
Y1 0.0000 0.0000 0.0000
Sc1 0.0000 0.5000 0.0000
Sb1 0.5000 0.5000 0.5000
O1 0.0000 0.0000 0.5000
```

Calculated values
raw formation energy	-0.23	eV/atom
spin magnetization	0.0	μB per formula unit
excess energy over the best structure of this formula in the dataset	1258.5	meV/atom


[7]
Computed, not measured: crystalline LaPrSm2Er2 at its relaxed geometry at the GGA-PBE level of DFT.

CIF file:
```
data_LaPrSm2Er2
_cell_length_a 6.5948
_cell_length_b 18.3007
_cell_length_c 3.4297
_cell_angle_alpha 90.00
_cell_angle_beta 90.00
_cell_angle_gamma 90.00
_space_group_name_H-M_alt 'P n n m'
_space_group_IT_number 58
loop_
_space_group_symop_operation_xyz
'x,y,z'
'-x,-y,-z'
'-x,-y,z'
'x,y,-z'
'x+1/2,-y+1/2,-z+1/2'
'-x+1/2,y+1/2,z+1/2'
'-x+1/2,y+1/2,-z+1/2'
'x+1/2,-y+1/2,z+1/2'
loop_
_atom_site_label
_atom_site_fract_x
_atom_site_fract_y
_atom_site_fract_z
La1 0.0000 0.0000 0.0000
Pr1 0.0000 0.5000 0.0000
Sm1 0.2181 0.1896 0.0000
Er1 0.2168 0.3517 0.5000
```

Calculated values
calculated formation energy	0.26	eV per atom
spin magnetization	0.0	μB per formula unit


[8]
Computed, not measured: crystalline NaLi2LaH at its relaxed geometry at the GGA-PBE level of DFT.

CIF file:
```
data_NaLi2LaH
_cell_length_a 5.0799
_cell_length_b 5.0799
_cell_length_c 4.6344
_cell_angle_alpha 90.00
_cell_angle_beta 90.00
_cell_angle_gamma 90.00
_space_group_name_H-M_alt 'P 4/m m m'
_space_group_IT_number 123
_space_group_name_Hall '-P 4 2'
loop_
_atom_site_label
_atom_site_fract_x
_atom_site_fract_y
_atom_site_fract_z
Na1 0.0000 0.0000 0.0000
Li1 0.0000 0.5000 0.5000
La1 0.5000 0.5000 0.0000
H1 0.5000 0.5000 0.5000
```

Calculated values
uncorrected energy	-13.2	eV for the cell shown
spin magnetization	0.0	μB per formula unit


[9]
Computed, not measured: crystalline Cu3MoBr9 at its relaxed geometry at the GGA-PBE level of DFT.

CIF file:
```
data_Cu3MoBr9
_cell_length_a 17.0386
_cell_length_b 9.5291
_cell_length_c 13.3284
_cell_angle_alpha 90.00
_cell_angle_beta 128.93
_cell_angle_gamma 90.00
_space_group_name_H-M_alt 'C 1 c 1'
_space_group_IT_number 9
loop_
_space_group_symop_operation_xyz
'x,y,z'
'x,-y,z+1/2'
'x+1/2,y+1/2,z'
'x+1/2,-y+1/2,z+1/2'
loop_
_atom_site_label
_atom_site_fract_x
_atom_site_fract_y
_atom_site_fract_z
Cu1 0.0000 0.0523 0.0000
Cu2 0.1114 0.3467 0.8708
Cu3 0.4316 0.1405 0.6205
Mo1 0.2878 0.1794 0.7946
Br1 0.0103 0.1664 0.8479
Br2 0.0960 0.4187 0.3158
Br3 0.1514 0.0012 0.7242
Br4 0.1751 0.3640 0.6487
Br5 0.2804 0.2653 0.9665
Br6 0.2937 0.0748 0.6229
Br7 0.3913 0.3762 0.5435
Br8 0.4175 0.0097 0.4494
Br9 0.4425 0.3249 0.8788
```

Calculated values
raw formation energy	-0.35	eV/atom
spin magnetization	0.1	μB per formula unit


[10]
Computed, not measured: crystalline Na2Nb2Pb at its relaxed geometry at the GGA-PBE level of DFT.

CIF file:
```
data_Na2Nb2Pb
_cell_length_a 8.7607
_cell_length_b 8.7607
_cell_length_c 3.3498
_cell_angle_alpha 90.00
_cell_angle_beta 90.00
_cell_angle_gamma 90.00
_space_group_name_H-M_alt 'P 4/m b m'
_space_group_IT_number 127
_space_group_name_Hall '-P 4 2ab'
loop_
_atom_site_label
_atom_site_fract_x
_atom_site_fract_y
_atom_site_fract_z
Na1 0.2029 0.2971 0.0000
Nb1 0.0886 0.5886 0.5000
Pb1 0.0000 0.0000 0.5000
```

Calculated values
calculated formation energy	0.88	eV per atom
spin magnetization	0.0	μB per formula unit
excess energy over the best structure of this formula in the dataset	137.2	meV/atom